ErTmCo after structural relaxation, computed with PBE.

Results
Space-group type: No. 12
Energy relative to the lowest polymorph listed for this composition, meV/atom: 1.8
Formation energy, meV/atom: -161

Cell: 3.3232 6.6395 6.6460 Å, 104.49 90.00 104.49°
Site moments in Bohr magnetons follow the coordinates.
Element x y z (fractional)
Tm 0.8714 0.7428 0.9359  -0.08
Tm 0.1286 0.2572 0.0641  -0.08
Co 0.4998 0.9996 0.7512  0.80
Co 0.5002 0.0004 0.2488  0.80
Er 0.8710 0.7419 0.4353  -0.08
Er 0.1290 0.2581 0.5647  -0.08

=====

NaPuNi4 after structural relaxation, computed with PBE.

Results
Space-group type: No. 216
Formation energy, meV/atom: -11

Cell: 4.9951 4.9951 4.9951 Å, 60.00 60.00 60.00°
Site moments in Bohr magnetons follow the coordinates.
Element x y z (fractional)
Ni 0.6251 0.1247 0.6251  -0.40
Ni 0.1247 0.6251 0.6251  -0.40
Ni 0.6251 0.6251 0.1247  -0.40
Ni 0.6251 0.6251 0.6251  -0.40
Pu 0.2500 0.2500 0.2500  5.06
Na 0.0000 0.0000 0.0000  0.02

=====

CuTcPt2 after structural relaxation, computed with PBE.

Results
Space-group type: No. 123
Energy relative to the lowest polymorph listed for this composition, meV/atom: 275.0
Formation energy, meV/atom: 87

Cell: 3.9208 3.9249 3.8510 Å, 90.00 90.00 90.00°
Site moments in Bohr magnetons follow the coordinates.
Element x y z (fractional)
Pt 0.0000 0.0000 0.0000  0.21
Pt 0.5000 0.5000 0.0000  0.21
Tc 0.5000 0.0000 0.5000  1.67
Cu 0.0000 0.5000 0.5000  0.14